Entry 1:
{
  "formula": "Sc3NbCd",
  "functional": "PBE",
  "state": "relaxed",
  "dft_energy_ev_per_cell": -24.94,
  "polymorph_energy_ev_per_atom": 0.4600,
  "delta_e_f_ev_per_atom": 1.008,
  "cell": [[5.194, 0.000, 0.000], [0.000, 5.194, 0.000], [0.000, 0.000, 5.194]],
  "species": ["Sc", "Sc", "Sc", "Nb", "Cd"],
  "fractional_positions": [[0.000, 0.000, 0.500], [0.000, 0.500, 0.000], [0.500, 0.000, 0.000], [0.500, 0.500, 0.500], [0.000, 0.000, 0.000]]
}

=====

Entry 2:
{
  "formula": "Sc3NbCd",
  "functional": "PBE",
  "state": "relaxed",
  "dft_energy_ev_per_cell": -27.24,
  "polymorph_energy_ev_per_atom": 0.0000,
  "delta_e_f_ev_per_atom": 0.548,
  "cell": [[5.117, 0.000, 0.000], [0.000, 5.117, 0.000], [0.000, 0.000, 5.117]],
  "species": ["Sc", "Sc", "Sc", "Nb", "Cd"],
  "fractional_positions": [[0.000, 0.000, 0.500], [0.000, 0.500, 0.000], [0.500, 0.000, 0.000], [0.000, 0.000, 0.000], [0.500, 0.500, 0.500]]
}

=====

Entry 3:
{
  "formula": "ScNb2Cd",
  "functional": "PBE",
  "state": "relaxed",
  "dft_energy_ev_per_cell": -99.46,
  "delta_e_f_ev_per_atom": 0.630,
  "cell": [[7.798, 0.000, 0.000], [0.000, 7.798, 0.000], [0.000, 0.000, 5.549]],
  "species": ["Sc", "Sc", "Sc", "Sc", "Nb", "Nb", "Nb", "Nb", "Nb", "Nb", "Nb", "Nb", "Cd", "Cd", "Cd", "Cd"],
  "fractional_positions": [[0.000, 0.000, 0.000], [0.000, 0.500, 0.250], [0.500, 0.000, 0.750], [0.500, 0.500, 0.500], [0.239, 0.250, 0.625], [0.250, 0.739, 0.875], [0.250, 0.761, 0.375], [0.261, 0.250, 0.125], [0.739, 0.750, 0.125], [0.750, 0.239, 0.375], [0.750, 0.261, 0.875], [0.761, 0.750, 0.625], [0.000, 0.000, 0.500], [0.000, 0.500, 0.750], [0.500, 0.000, 0.250], [0.500, 0.500, 0.000]]
}

=====

Entry 4:
{
  "formula": "ScTaNbCd2",
  "functional": "PBE",
  "state": "relaxed",
  "dft_energy_ev_per_cell": -21.86,
  "delta_e_f_ev_per_atom": 1.644,
  "cell": [[5.043, 0.000, 0.000], [0.000, 5.043, 0.000], [0.000, 0.000, 4.751]],
  "species": ["Sc", "Ta", "Nb", "Cd", "Cd"],
  "fractional_positions": [[0.000, 0.000, 0.000], [0.000, 0.000, 0.500], [0.500, 0.500, 0.500], [0.000, 0.500, 0.000], [0.500, 0.000, 0.000]]
}